*a*
Material: ZnCr2H2
Method: DFT, PBE
State: relaxed

Output
- space group = No. 127

Unit cell a=5.770 b=5.770 c=2.621 alpha=90.00 beta=90.00 gamma=90.00
Fractional positions:
Cr1 0.128 0.628 0.500
Cr2 0.628 0.872 0.500
Cr3 0.872 0.372 0.500
Cr4 0.372 0.128 0.500
Zn1 0.000 0.000 0.000
Zn2 0.500 0.500 0.000
H1 0.376 0.876 0.000
H2 0.876 0.624 0.000
H3 0.624 0.124 0.000
H4 0.124 0.376 0.000

=====

*b*
Material: ZnCr2H2
Method: DFT, PBE
State: relaxed

Output
- space group = No. 139

Unit cell a=3.143 b=3.143 c=4.822 alpha=70.98 beta=70.98 gamma=90.00
Fractional positions:
Cr1 0.337 0.337 0.327
Cr2 0.663 0.663 0.673
Zn1 0.000 0.000 0.000
H1 0.750 0.250 0.500
H2 0.250 0.750 0.500

=====

Which one sits at the top of the stability order? *b* does.

=====

*a*
Material: ZnCr3H
Method: DFT, PBE
State: relaxed

Output
- space group = No. 221

Unit cell a=4.379 b=4.379 c=4.379 alpha=90.00 beta=90.00 gamma=90.00
Fractional positions:
Cr1 0.000 0.500 0.000
Cr2 0.000 0.000 0.500
Cr3 0.500 0.000 0.000
Zn1 0.000 0.000 0.000
H1 0.500 0.500 0.500

=====

*b*
Material: ZnCr3H
Method: DFT, PBE
State: relaxed

Output
- space group = No. 221

Unit cell a=3.698 b=3.698 c=3.698 alpha=90.00 beta=90.00 gamma=90.00
Fractional positions:
Cr1 0.000 0.500 0.000
Cr2 0.000 0.000 0.500
Cr3 0.500 0.000 0.000
Zn1 0.500 0.500 0.500
H1 0.000 0.000 0.000

=====

Which one sits at the top of the stability order? *b* does.

=====

*a*
Material: Zr2CrH
Method: DFT, PBE
State: relaxed

Output
- space group = No. 122

Unit cell a=6.318 b=6.318 c=5.510 alpha=55.02 beta=55.02 gamma=90.00
Site moments in Bohr magnetons follow the coordinates.
Fractional positions:
Cr1 0.000 0.000 0.000  2.66
Cr2 0.750 0.250 0.500  2.67
Zr1 0.546 0.125 0.250  -0.21
Zr2 0.204 0.625 0.250  -0.21
Zr3 0.375 0.454 0.750  -0.24
Zr4 0.875 0.796 0.750  -0.15
H1 0.500 0.500 0.000  0.01
H2 0.250 0.750 0.500  0.01

=====

*b*
Material: Zr2CrH
Method: DFT, PBE
State: relaxed

Output
- space group = No. 225

Unit cell a=4.446 b=4.446 c=4.446 alpha=60.00 beta=60.00 gamma=60.00
Site moments in Bohr magnetons follow the coordinates.
Fractional positions:
Cr1 0.500 0.500 0.500  0.72
Zr1 0.250 0.250 0.250  -0.05
Zr2 0.750 0.750 0.750  -0.05
H1 0.000 0.000 0.000  0.01

=====

Which one sits at the top of the stability order? *a* does.

=====

*a*
Material: HfCrHg2
Method: DFT, PBE
State: relaxed

Output
- space group = No. 122

Unit cell a=4.131 b=4.131 c=10.641 alpha=78.81 beta=78.81 gamma=90.00
Site moments in Bohr magnetons follow the coordinates.
Fractional positions:
Cr1 0.500 0.500 0.000  3.18
Cr2 0.250 0.750 0.500  3.18
Hf1 0.000 0.000 0.000  -0.27
Hf2 0.750 0.250 0.500  -0.27
Hg1 0.616 0.125 0.250  0.00
Hg2 0.134 0.625 0.250  0.00
Hg3 0.375 0.384 0.750  -0.01
Hg4 0.875 0.866 0.750  -0.01

=====

*b*
Material: HfCrHg2
Method: DFT, PBE
State: relaxed

Output
- space group = No. 225

Unit cell a=4.826 b=4.826 c=4.826 alpha=60.00 beta=60.00 gamma=60.00
Site moments in Bohr magnetons follow the coordinates.
Fractional positions:
Cr1 0.000 0.000 0.000  3.62
Hf1 0.500 0.500 0.500  -0.05
Hg1 0.250 0.250 0.250  -0.01
Hg2 0.750 0.750 0.750  -0.01

=====

Which one sits at the top of the stability order? *b* does.

=====

*a*
Material: Hf2CrHg2
Method: DFT, PBE
State: relaxed

Output
- space group = No. 139

Unit cell a=3.939 b=3.939 c=7.507 alpha=74.79 beta=74.79 gamma=90.00
Fractional positions:
Cr1 0.000 0.000 0.000
Hf1 0.750 0.250 0.500
Hf2 0.250 0.750 0.500
Hg1 0.406 0.406 0.189
Hg2 0.594 0.594 0.811

=====

*b*
Material: Hf2CrHg2
Method: DFT, PBE
State: relaxed

Output
- space group = No. 127

Unit cell a=7.271 b=7.271 c=3.974 alpha=90.00 beta=90.00 gamma=90.00
Site moments in Bohr magnetons follow the coordinates.
Fractional positions:
Cr1 0.000 0.000 0.000  3.37
Cr2 0.500 0.500 0.000  3.37
Hf1 0.170 0.670 0.500  -0.13
Hf2 0.670 0.830 0.500  -0.12
Hf3 0.830 0.330 0.500  -0.13
Hf4 0.330 0.170 0.500  -0.12
Hg1 0.363 0.863 0.000  -0.01
Hg2 0.863 0.637 0.000  -0.02
Hg3 0.637 0.137 0.000  -0.01
Hg4 0.137 0.363 0.000  -0.01

=====

Which one sits at the top of the stability order? *b* does.

=====

*a*
Material: HfCr3I
Method: DFT, PBE
State: relaxed

Output
- space group = No. 221

Unit cell a=4.987 b=4.987 c=4.987 alpha=90.00 beta=90.00 gamma=90.00
Site moments in Bohr magnetons follow the coordinates.
Fractional positions:
I1 0.500 0.500 0.500  0.01
Cr1 0.000 0.500 0.000  3.31
Cr2 0.000 0.000 0.500  2.96
Cr3 0.500 0.000 0.000  3.73
Hf1 0.000 0.000 0.000  -0.32

=====

*b*
Material: HfCr3I
Method: DFT, PBE
State: relaxed

Output
- space group = No. 221

Unit cell a=4.615 b=4.615 c=4.615 alpha=90.00 beta=90.00 gamma=90.00
Site moments in Bohr magnetons follow the coordinates.
Fractional positions:
I1 0.000 0.000 0.000  -0.06
Cr1 0.000 0.500 0.000  1.09
Cr2 0.000 0.000 0.500  1.13
Cr3 0.500 0.000 0.000  0.95
Hf1 0.500 0.500 0.500  -0.23

=====

Which one sits at the top of the stability order? *b* does.

=====

*a*
Material: HfCrI2N
Method: DFT, PBE
State: relaxed

Output
- space group = No. 123

Unit cell a=5.429 b=5.429 c=3.557 alpha=90.00 beta=90.00 gamma=90.00
Fractional positions:
I1 0.000 0.500 0.000
I2 0.500 0.000 0.000
Cr1 0.000 0.000 0.000
Hf1 0.500 0.500 0.500
N1 0.000 0.000 0.500

=====

*b*
Material: HfCrI2N
Method: DFT, PBE
State: relaxed

Output
- space group = No. 123

Unit cell a=5.897 b=5.897 c=3.980 alpha=90.00 beta=90.00 gamma=90.00
Site moments in Bohr magnetons follow the coordinates.
Fractional positions:
I1 0.000 0.500 0.000  0.00
I2 0.500 0.000 0.000  0.00
Cr1 0.500 0.500 0.500  4.36
Hf1 0.000 0.000 0.000  0.02
N1 0.000 0.000 0.500  0.01

=====

Which one sits at the top of the stability order? *b* does.